(1)
# GGA-PBE KTa2BeSi, relaxed
# - uncorrected formation energy (eV/f.u.) = 15.807
data_KTa2BeSi
_chemical_formula_sum 'K1 Ta2 Be1 Si1'
_symmetry_space_group_name_H-M 'P 4/m m m'
_symmetry_Int_Tables_number 123
_symmetry_space_group_name_Hall '-P 4 2'
_cell_length_a 4.621
_cell_length_b 4.621
_cell_length_c 4.946
_cell_angle_alpha 90.00
_cell_angle_beta 90.00
_cell_angle_gamma 90.00
loop_
_atom_site_label
_atom_site_fract_x
_atom_site_fract_y
_atom_site_fract_z
K1 0.000 0.000 0.000
Ta1 0.000 0.500 0.000
Be1 0.500 0.500 0.500
Si1 0.000 0.000 0.500


(2)
# GGA-PBE K3BeSn, relaxed
# - formation enthalpy at 0 K (eV per atom) = 0.6760
# - ΔE to the lowest computed polymorph (eV per atom) = 0.000
data_K3BeSn
_chemical_formula_sum 'K3 Be1 Sn1'
_symmetry_space_group_name_H-M 'P m -3 m'
_symmetry_Int_Tables_number 221
_symmetry_space_group_name_Hall '-P 4 2 3'
_cell_length_a 6.150
_cell_length_b 6.150
_cell_length_c 6.150
_cell_angle_alpha 90.00
_cell_angle_beta 90.00
_cell_angle_gamma 90.00
loop_
_atom_site_label
_atom_site_fract_x
_atom_site_fract_y
_atom_site_fract_z
K1 0.000 0.000 0.500
Be1 0.000 0.000 0.000
Sn1 0.500 0.500 0.500